A geometry-optimized Sb2RuBr structure. Source: the Alexandria database, functional PBE.

```
Sb2RuBr
1.0
-0.600 0.092 -5.090
-3.933 -1.369 0.439
-1.351 3.957 0.231
Sb Br Ru
2 1 1
Cartesian
-2.642 1.294 0.335 Sb
0.000 0.000 0.000 Sb
-2.267 -0.638 -2.326 Br
-0.975 2.025 -2.429 Ru
```

Calculated values
**Uncorrected formation energy**: 753 meV/atom
**DFT total energy**: -4.045 eV per atom
**Space group**: No. 123

=====

A geometry-optimized SbRuBr2 structure. Source: the Alexandria database, functional PBE.

```
SbRuBr2
1.0
9.359 0.000 0.000
0.000 9.359 0.000
4.680 4.680 2.539
Ru Br Sb
2 4 2
Cartesian
4.680 9.359 1.269 Ru
4.680 4.680 0.000 Ru
3.673 7.019 0.635 Br
5.686 2.340 0.635 Br
11.699 10.366 1.904 Br
7.019 8.353 1.904 Br
0.000 0.000 0.000 Sb
9.359 4.680 1.269 Sb
```

Calculated values
**Uncorrected formation energy**: 177 meV/atom
**DFT total energy**: -4.009 eV per atom
**Space group**: No. 122

=====

A geometry-optimized Sb2RuBr structure. Source: the Alexandria database, functional PBE.

```
Sb2RuBr
1.0
-3.269 -2.667 -0.537
-1.162 -2.503 -3.236
5.849 -4.520 4.293
Ru Br Sb
1 1 2
Cartesian
0.354 -2.422 0.130 Ru
1.063 -7.267 0.390 Br
-0.237 -4.973 -0.486 Sb
-3.485 -5.042 -3.026 Sb
```

Calculated values
**Uncorrected formation energy**: -92 meV/atom
**DFT total energy**: -4.890 eV per atom
**Space group**: No. 12

=====

A geometry-optimized SbRu2Br structure. Source: the Alexandria database, functional PBE.

```
SbRu2Br
1.0
-5.224 -0.323 -0.630
2.505 -3.558 3.091
-0.423 0.907 3.003
Ru Sb Br
2 1 1
Cartesian
0.000 0.000 0.000 Ru
-2.823 0.292 1.186 Ru
1.041 -1.326 3.047 Sb
-1.359 -1.941 1.231 Br
```

Calculated values
**Uncorrected formation energy**: 799 meV/atom
**DFT total energy**: -5.287 eV per atom
**Space group**: No. 12

=====

A geometry-optimized SbRu2Br structure. Source: the Alexandria database, functional PBE.

```
SbRu2Br
1.0
-0.368 -3.205 0.223
0.545 0.159 3.183
-6.700 0.846 1.104
Ru Br Sb
2 1 1
Cartesian
-3.113 0.393 0.513 Ru
-0.237 0.030 0.039 Ru
-4.937 -0.889 2.531 Br
-1.587 -1.311 1.979 Sb
```

Calculated values
**Uncorrected formation energy**: 467 meV/atom
**DFT total energy**: -5.620 eV per atom
**Space group**: No. 123

=====

A geometry-optimized Sb2RuBr structure. Source: the Alexandria database, functional PBE.

```
Sb2RuBr
1.0
-0.178 6.827 -6.610
-3.214 7.408 -5.013
-0.278 8.747 -3.710
Br Sb Ru
1 2 1
Cartesian
-1.919 12.011 -8.013 Br
-3.607 22.584 -15.066 Sb
-2.718 17.015 -11.352 Sb
-0.934 5.845 -3.900 Ru
```

Calculated values
**Uncorrected formation energy**: 212 meV/atom
**DFT total energy**: -4.586 eV per atom
**Space group**: No. 160

=====

A geometry-optimized Sb2RuBr structure. Source: the Alexandria database, functional PBE.

```
Sb2RuBr
1.0
8.116 -0.016 -0.009
7.230 3.688 -0.009
7.230 1.730 3.257
Ru Sb Br
1 2 1
Cartesian
5.644 1.351 0.810 Ru
11.734 2.808 1.683 Sb
22.131 5.296 3.174 Sb
16.933 4.052 2.429 Br
```

Calculated values
**Uncorrected formation energy**: -36 meV/atom
**DFT total energy**: -4.835 eV per atom
**Space group**: No. 166

=====

A geometry-optimized SbRuBr2 structure. Source: the Alexandria database, functional PBE.

```
SbRuBr2
1.0
6.801 0.001 0.002
4.361 5.219 -0.002
-5.167 -3.495 2.710
Ru Br Sb
1 2 1
Cartesian
5.490 2.567 0.000 Ru
11.042 5.164 0.000 Br
2.947 -0.751 1.356 Br
3.259 2.575 1.354 Sb
```

Calculated values
**Uncorrected formation energy**: 226 meV/atom
**DFT total energy**: -3.960 eV per atom
**Space group**: No. 44

=====

A geometry-optimized Sb2RuBr structure. Source: the Alexandria database, functional PBE.

```
Sb2RuBr
1.0
6.714 0.002 -0.001
4.241 5.205 0.001
-5.004 -3.601 2.660
Br Sb Ru
1 2 1
Cartesian
2.358 2.104 1.331 Br
6.207 2.950 0.000 Sb
10.226 4.860 0.000 Sb
3.594 -0.498 1.329 Ru
```

Calculated values
**Uncorrected formation energy**: 262 meV/atom
**DFT total energy**: -4.536 eV per atom
**Space group**: No. 71

=====

A geometry-optimized SbRu2Br structure. Source: the Alexandria database, functional PBE.

```
SbRu2Br
1.0
-1.347 -1.654 -2.171
-1.989 -1.063 2.044
-5.469 6.800 -1.787
Br Ru Sb
1 2 1
Cartesian
-6.222 4.303 -1.551 Br
-2.823 0.077 -0.441 Ru
-0.189 0.235 -0.062 Ru
-2.307 2.868 -0.754 Sb
```

Calculated values
**Uncorrected formation energy**: 323 meV/atom
**DFT total energy**: -5.763 eV per atom
**Space group**: No. 99

=====

A geometry-optimized SbRuBr structure. Source: the Alexandria database, functional PBE.

```
SbRuBr
1.0
-0.967 -4.112 -1.634
1.109 -3.697 2.370
-3.239 -2.503 1.939
Sb Br Ru
1 1 1
Cartesian
0.000 0.000 0.000 Sb
-1.549 -5.156 1.337 Br
-2.323 -7.734 2.005 Ru
```

Calculated values
**Uncorrected formation energy**: 216 meV/atom
**DFT total energy**: -4.808 eV per atom
**Space group**: No. 216

=====

A geometry-optimized SbRu2Br structure. Source: the Alexandria database, functional PBE.

```
SbRu2Br
1.0
3.646 0.000 0.000
0.000 2.945 -0.020
0.000 1.634 8.208
Br Ru Sb
1 2 1
Cartesian
1.823 4.032 6.817 Br
0.000 2.410 0.486 Ru
1.823 0.945 1.668 Ru
0.000 2.427 3.293 Sb
```

Calculated values
**Uncorrected formation energy**: 213 meV/atom
**DFT total energy**: -5.874 eV per atom
**Space group**: No. 6

=====

A geometry-optimized SbRu2Br structure. Source: the Alexandria database, functional PBE.

```
SbRu2Br
1.0
-0.714 0.462 -3.066
-1.458 -3.005 -0.114
-6.264 2.962 1.905
Ru Br Sb
2 1 1
Cartesian
-3.898 -0.927 0.768 Ru
-1.421 -2.100 0.014 Ru
-6.149 0.199 -0.189 Br
-2.287 0.220 -1.085 Sb
```

Calculated values
**Uncorrected formation energy**: 316 meV/atom
**DFT total energy**: -5.770 eV per atom
**Space group**: No. 47

=====

A geometry-optimized SbRu2Br structure. Source: the Alexandria database, functional PBE.

```
SbRu2Br
1.0
3.137 0.000 0.000
0.000 3.964 0.000
0.000 0.000 5.806
Ru Br Sb
2 1 1
Cartesian
0.000 0.000 5.590 Ru
1.568 1.982 1.498 Ru
1.568 1.982 4.887 Br
0.000 0.000 2.538 Sb
```

Calculated values
**Uncorrected formation energy**: 405 meV/atom
**DFT total energy**: -5.682 eV per atom
**Space group**: No. 25

=====

A geometry-optimized SbRuBr2 structure. Source: the Alexandria database, functional PBE.

```
SbRuBr2
1.0
-5.580 8.951 -1.476
-8.245 6.718 -0.560
-6.307 8.348 1.993
Ru Br Sb
1 2 1
Cartesian
-5.033 6.004 -0.011 Ru
-19.371 23.109 -0.041 Br
-10.827 12.916 -0.023 Br
-15.099 18.012 -0.032 Sb
```

Calculated values
**Uncorrected formation energy**: 295 meV/atom
**DFT total energy**: -3.891 eV per atom
**Space group**: No. 166